(1)
Here is a relaxed PmScAs2 crystal from Alexandria via LeMat-Bulk. Energies are from PBE-GGA.

## Properties
**Volume**: 21.9 Å³/atom
**Raw total energy**: -6.04 eV per atom
**Calculated density**: 6.46 g cm⁻³
**Energy relative to the elements**: -3.79 eV per formula unit

Lattice parameters (Å, degrees): 3.1242 5.2892 5.2892 90.00 90.00 90.00
With the nearest neighbours (Å) after each atom.
Element x y z (fractional)
As 0.0000 0.0000 0.5000  4 Pm 3.07, 4 Sc 3.07, 2 As 3.12
Sc 0.5000 0.5000 0.5000  8 As 3.07, 2 Sc 3.12
As 0.0000 0.5000 0.0000  4 Pm 3.07, 4 Sc 3.07, 2 As 3.12
Pm 0.5000 0.0000 0.0000  8 As 3.07, 2 Pm 3.12



(2)
Here is a relaxed KPb crystal from Alexandria via LeMat-Bulk. Energies are from PBE-GGA.

## Properties
**Volume**: 37.2 Å³/atom
**Raw total energy**: -2.38 eV per atom
**Calculated density**: 5.50 g cm⁻³
**Energy relative to the elements**: 0.05 eV per formula unit

Lattice parameters (Å, degrees): 4.2048 4.2048 4.2048 90.00 90.00 90.00
With the nearest neighbours (Å) after each atom.
Element x y z (fractional)
K 0.0000 0.0000 0.0000  8 Pb 3.64
Pb 0.5000 0.5000 0.5000  8 K 3.64



(3)
Here is a relaxed TbCe2Au crystal from Alexandria via LeMat-Bulk. Energies are from PBE-GGA.

## Properties
**Volume**: 25.1 Å³/atom
**Raw total energy**: -5.19 eV per atom
**Calculated density**: 10.52 g cm⁻³
**Energy relative to the elements**: -0.98 eV per formula unit

Lattice parameters (Å, degrees): 5.6087 4.2306 4.2306 90.00 90.00 90.00
With the nearest neighbours (Å) after each atom.
Element x y z (fractional)
Au 0.5000 0.0000 0.0000  4 Tb 2.99
Tb 0.5000 0.5000 0.5000  4 Au 2.99
Ce 0.0000 0.5000 0.0000  4 Ce 2.99
Ce 0.0000 0.0000 0.5000  4 Ce 2.99



Q: Which energy relative to the lowest polymorph listed for this composition values were calculated for the entries above? A: 0.4774, 0.2667, 0.0000, in eV/atom.